# PBE+U BaPaVO6, relaxed
# **E**: -7.9143 eV per atom
# **V**: 14.763 Å³ per atom
# **Crystal system**: trigonal
# **Total magnetization**: 0.00 μB per formula unit
data_BaPaVO6
_chemical_formula_sum 'Ba1 Pa1 V1 O6'
_cell_length_a 5.6132
_cell_length_b 5.6132
_cell_length_c 4.8692
_cell_angle_alpha 90.00
_cell_angle_beta 90.00
_cell_angle_gamma 120.00
_symmetry_space_group_name_H-M 'P 3 1 2'
_symmetry_Int_Tables_number 149
_symmetry_space_group_name_Hall 'P 3 2'
loop_
_atom_site_label
_atom_site_type_symbol
_atom_site_fract_x
_atom_site_fract_y
_atom_site_fract_z
Ba1 Ba 0.0000 0.0000 0.0000
Pa1 Pa 0.6667 0.3333 0.5000
V1 V 0.3333 0.6667 0.0000
O1 O 0.0259 0.4293 0.2363